Entry 1:
Computed, not measured: crystalline SnSeS2N at its relaxed geometry at the PBE level of DFT.

Cell: 5.1203 5.1203 3.9246 Å, 90.00 90.00 90.00°
Element x y z (fractional)
1 Sn 0.0000 0.0000 0.0000
2 Se 0.5000 0.5000 0.5000
3 S 0.0000 0.5000 0.0000
4 S 0.5000 0.0000 0.0000
5 N 0.0000 0.0000 0.5000

## Properties
The magnetization comes out at 0.00 μB per formula unit. The calculation puts the final energy at -3.73 eV per atom. The space group is P4/mmm.

=====

Entry 2:
Computed, not measured: crystalline SrSe2SN at its relaxed geometry at the PBE level of DFT.

Cell: 5.4710 5.4710 3.4654 Å, 90.00 90.00 90.00°
Element x y z (fractional)
1 Sr 0.0000 0.0000 0.0000
2 Se 0.0000 0.5000 0.5000
3 Se 0.5000 0.0000 0.5000
4 S 0.5000 0.5000 0.5000
5 N 0.5000 0.5000 0.0000

## Properties
The magnetization comes out at 0.00 μB per formula unit. The calculation puts the final energy at -4.18 eV per atom. The space group is P4/mmm.

=====

Entry 3:
Computed, not measured: crystalline SrSeSN2 at its relaxed geometry at the PBE level of DFT.

Cell: 4.0789 4.0789 5.0564 Å, 90.00 90.00 90.00°
Element x y z (fractional)
1 Sr 0.0000 0.0000 0.0000
2 Se 0.5000 0.5000 0.5000
3 S 0.5000 0.5000 0.0000
4 N 0.0000 0.5000 0.5000
5 N 0.5000 0.0000 0.5000

## Properties
The magnetization comes out at 1.41 μB per formula unit. The calculation puts the final energy at -4.63 eV per atom. The space group is P4/mmm.

=====

Entry 4:
Computed, not measured: crystalline SrSeSN2 at its relaxed geometry at the PBE level of DFT.

Cell: 4.1110 4.1110 4.9526 Å, 90.00 90.00 90.00°
Element x y z (fractional)
1 Sr 0.0000 0.0000 0.0000
2 Se 0.5000 0.5000 0.0000
3 S 0.5000 0.5000 0.5000
4 N 0.0000 0.5000 0.5000
5 N 0.5000 0.0000 0.5000

## Properties
The magnetization comes out at 1.94 μB per formula unit. The calculation puts the final energy at -4.37 eV per atom. The space group is P4/mmm.

=====

Please write out number 1 again, unchanged.
Computed, not measured: crystalline SnSeS2N at its relaxed geometry at the PBE level of DFT.

Cell: 5.1203 5.1203 3.9246 Å, 90.00 90.00 90.00°
Element x y z (fractional)
1 Sn 0.0000 0.0000 0.0000
2 Se 0.5000 0.5000 0.5000
3 S 0.0000 0.5000 0.0000
4 S 0.5000 0.0000 0.0000
5 N 0.0000 0.0000 0.5000

## Properties
The magnetization comes out at 0.00 μB per formula unit. The calculation puts the final energy at -3.73 eV per atom. The space group is P4/mmm.